First-principles (PBE) data for crystalline Ba3ZnPb3 at its relaxed geometry, as listed in Alexandria via LeMat-Bulk.

Geometry as CIF:
```
data_Ba3ZnPb3
_chemical_formula_sum 'Ba6 Zn2 Pb6'
_symmetry_space_group_name_H-M 'P 1'
_symmetry_Int_Tables_number 1
_cell_length_a 6.831
_cell_length_b 6.831
_cell_length_c 17.005
_cell_angle_alpha 109.45
_cell_angle_beta 109.45
_cell_angle_gamma 45.57
loop_
_symmetry_equiv_pos_as_xyz
'x,y,z'
loop_
_atom_site_label
_atom_site_type_symbol
_atom_site_fract_x
_atom_site_fract_y
_atom_site_fract_z
Ba1 Ba 0.037 0.037 0.387
Ba2 Ba 0.094 0.094 0.920
Ba3 Ba 0.245 0.245 0.233
Ba4 Ba 0.755 0.755 0.767
Ba5 Ba 0.906 0.906 0.080
Ba6 Ba 0.963 0.963 0.613
Zn1 Zn 0.258 0.258 0.604
Zn2 Zn 0.742 0.742 0.396
Pb1 Pb 0.357 0.357 0.465
Pb2 Pb 0.383 0.383 0.922
Pb3 Pb 0.456 0.456 0.761
Pb4 Pb 0.544 0.544 0.239
Pb5 Pb 0.617 0.617 0.078
Pb6 Pb 0.643 0.643 0.535
```

## Properties
E_tot ... -3.093 eV per atom

First-principles (PBE) data for crystalline SrPrZnCd at its relaxed geometry, as listed in Alexandria via LeMat-Bulk.

Geometry as CIF:
```
data_SrPrZnCd
_chemical_formula_sum 'Sr1 Pr1 Zn1 Cd1'
_symmetry_space_group_name_H-M 'P 1'
_symmetry_Int_Tables_number 1
_cell_length_a 3.873
_cell_length_b 3.873
_cell_length_c 7.842
_cell_angle_alpha 90.00
_cell_angle_beta 90.00
_cell_angle_gamma 90.00
loop_
_symmetry_equiv_pos_as_xyz
'x,y,z'
loop_
_atom_site_label
_atom_site_type_symbol
_atom_site_fract_x
_atom_site_fract_y
_atom_site_fract_z
Sr1 Sr 0.000 0.000 0.000
Pr1 Pr 0.000 0.000 0.473
Zn1 Zn 0.500 0.500 0.265
Cd1 Cd 0.500 0.500 0.720
```

## Properties
E_tot ... -2.441 eV per atom

Taking the records one at a time from the top gives N(E_F) values of 0.228 0.890 states/eV per atom.